[1]
Ca2HgRh after structural relaxation, computed with PBE.

DFT total energy: -3.1128 eV/atom
Mass density: 7.1 g cm⁻³
Energy of formation: -0.199 eV/atom

Unit cell a=5.028 b=5.028 c=5.028 alpha=60.00 beta=60.00 gamma=60.00
Fractional coordinates of all 4 atoms:
1 Ca 0.000 0.000 0.000
2 Ca 0.250 0.250 0.250
3 Rh 0.750 0.750 0.750
4 Hg 0.500 0.500 0.500



[2]
Dy3TmRu8 after structural relaxation, computed with PBE.

DFT total energy: -8.0173 eV/atom
Mass density: 11.4 g cm⁻³
Energy of formation: -0.310 eV/atom

Unit cell a=5.316 b=5.316 c=9.256 alpha=73.31 beta=73.31 gamma=60.00
Fractional coordinates of all 12 atoms:
1 Dy 0.375 0.375 0.875
2 Dy 0.000 0.000 0.000
3 Dy 0.500 0.500 0.500
4 Tm 0.875 0.875 0.375
5 Ru 0.936 0.438 0.189
6 Ru 0.439 0.938 0.686
7 Ru 0.438 0.438 0.189
8 Ru 0.938 0.938 0.686
9 Ru 0.188 0.188 0.437
10 Ru 0.688 0.688 0.937
11 Ru 0.438 0.936 0.189
12 Ru 0.938 0.439 0.686



[3]
K2YCu after structural relaxation, computed with PBE.

DFT total energy: -2.6193 eV/atom
Mass density: 2.9 g cm⁻³
E above lowest polymorph: 0.3860 eV per atom
Energy of formation: 0.569 eV/atom

Unit cell a=4.524 b=4.539 c=6.486 alpha=90.00 beta=90.00 gamma=90.00
Fractional coordinates of all 4 atoms:
1 Cu 0.000 0.500 0.500
2 K 0.000 0.000 0.000
3 K 0.500 0.500 0.000
4 Y 0.500 0.000 0.500



[4]
Sn4Te2AsS after structural relaxation, computed with PBE.

DFT total energy: -4.1130 eV/atom
Mass density: 6.1 g cm⁻³
Energy relative to the elements, uncorrected: -0.2290 eV per atom

Unit cell a=4.289 b=7.505 c=7.440 alpha=70.68 beta=90.00 gamma=90.00
Fractional coordinates of all 8 atoms:
1 Sn 0.000 0.724 0.759
2 Sn 0.000 0.276 0.241
3 Sn 0.500 0.723 0.261
4 Sn 0.500 0.277 0.739
5 Te 0.000 0.000 0.000
6 Te 0.500 0.000 0.500
7 As 0.000 0.500 0.500
8 S 0.500 0.500 0.000



[5]
Cs4Hg2GeAs2 after structural relaxation, computed with PBE.

DFT total energy: -2.2050 eV/atom
Mass density: 4.6 g cm⁻³
Energy of formation: -0.212 eV/atom

Unit cell a=6.422 b=8.490 c=8.490 alpha=66.29 beta=81.05 gamma=81.05
Fractional coordinates of all 9 atoms:
1 Cs 0.209 0.615 0.102
2 Cs 0.791 0.898 0.385
3 Cs 0.791 0.385 0.898
4 Cs 0.209 0.102 0.615
5 Hg 0.302 0.588 0.588
6 Hg 0.698 0.412 0.412
7 Ge 0.500 0.000 0.000
8 As 0.272 0.144 0.144
9 As 0.728 0.856 0.856



[6]
La12ErPb3 after structural relaxation, computed with PBE.

DFT total energy: -4.9524 eV/atom
Mass density: 7.6 g cm⁻³
Energy of formation: -0.276 eV/atom

Unit cell a=5.091 b=5.091 c=20.585 alpha=90.00 beta=90.00 gamma=90.00
Fractional coordinates of all 16 atoms:
1 La 0.500 0.500 0.000
2 La 0.500 0.500 0.253
3 La 0.500 0.500 0.500
4 La 0.500 0.500 0.747
5 La 0.500 0.000 0.129
6 La 0.500 0.000 0.377
7 La 0.500 0.000 0.623
8 La 0.500 0.000 0.871
9 La 0.000 0.500 0.129
10 La 0.000 0.500 0.377
11 La 0.000 0.500 0.623
12 La 0.000 0.500 0.871
13 Er 0.000 0.000 0.000
14 Pb 0.000 0.000 0.254
15 Pb 0.000 0.000 0.500
16 Pb 0.000 0.000 0.746